# PBE-GGA K2TlBiCl6, relaxed
# DOS(E_F) in states/eV per cell: 0.0
# Formation energy without anion corrections in eV/atom: -1.424
# Calculated volume in Å³/atom: 35.6
data_K2TlBiCl6
_cell_length_a 7.7895
_cell_length_b 7.7895
_cell_length_c 20.3313
_cell_angle_alpha 90.00
_cell_angle_beta 90.00
_cell_angle_gamma 120.00
_space_group_name_H-M_alt 'R 3'
_space_group_IT_number 146
_space_group_name_Hall 'R 3'
loop_
_atom_site_label
_atom_site_fract_x
_atom_site_fract_y
_atom_site_fract_z
K1 0.0000 0.0000 0.0000
K2 0.0000 0.0000 0.4896
Tl1 0.0000 0.0000 0.2067
Bi1 0.0000 0.0000 0.6969
Cl1 0.0137 0.3899 0.4345
Cl2 0.0675 0.6827 0.2789



# PBE-GGA KVBiCl6, relaxed
# Formation energy without anion corrections in eV/atom: -1.280
# Calculated volume in Å³/atom: 31.0
data_KVBiCl6
_cell_length_a 6.8686
_cell_length_b 6.8686
_cell_length_c 13.6600
_cell_angle_alpha 90.00
_cell_angle_beta 90.00
_cell_angle_gamma 120.00
_space_group_name_H-M_alt 'P -3 1 c'
_space_group_IT_number 163
_space_group_name_Hall '-P 3 2c'
loop_
_atom_site_label
_atom_site_fract_x
_atom_site_fract_y
_atom_site_fract_z
K1 0.0000 0.0000 0.0000
V1 0.3333 0.6667 0.2500
Bi1 0.3333 0.6667 0.7500
Cl1 0.0273 0.3839 0.1430



# PBE-GGA KZnBiCl6, relaxed
# DOS(E_F) in states/eV per cell: 0.0
# Formation energy without anion corrections in eV/atom: -1.258
# Calculated volume in Å³/atom: 31.2
data_KZnBiCl6
_cell_length_a 6.8325
_cell_length_b 6.8325
_cell_length_c 6.9530
_cell_angle_alpha 90.00
_cell_angle_beta 90.00
_cell_angle_gamma 120.00
_space_group_name_H-M_alt 'P 3 1 2'
_space_group_IT_number 149
loop_
_space_group_symop_operation_xyz
'x,y,z'
'-y,x-y,z'
'-x+y,-x,z'
'-y,-x,-z'
'-x+y,y,-z'
'x,x-y,-z'
loop_
_atom_site_label
_atom_site_fract_x
_atom_site_fract_y
_atom_site_fract_z
K1 0.0000 0.0000 0.0000
Zn1 0.6667 0.3333 0.5000
Bi1 0.3333 0.6667 0.5000
Cl1 0.3825 0.0261 0.7124